# YCr2SnN

An optimized crystal structure of YCr2SnN (PBEsol, the Alexandria database).

a b c (Å): 4.9040 4.9040 5.7643
angles (deg): 90.00 90.00 90.00
Last column: nearest neighbours and their distance in Å.
Space group P4/mmm (No. 123)
Symmetry-distinct sites (fractional):
Y  0.0000  0.0000  0.0000 (multiplicity 1)  2 Sn 2.88
Cr  0.0000  0.5000  0.5000 (multiplicity 2)  2 Sn 2.45
Sn  0.0000  0.0000  0.5000 (multiplicity 1)  4 Cr 2.45
N  0.5000  0.5000  0.0000 (multiplicity 1)  4 Y 3.47, 8 Cr 3.78

## Properties
ΔE_f (raw), eV/atom: 1.85
Magnetic moment, μB per formula unit: 7.99

# Sr4CrN4

An optimized crystal structure of Sr4CrN4 (PBEsol, the Alexandria database).

a b c (Å): 11.5802 5.1966 11.5128
angles (deg): 90.00 90.00 90.00
Last column: nearest neighbours and their distance in Å.
Space group Pnma (No. 62)
Symmetry-distinct sites (fractional):
Sr  0.0540  0.2500  0.1117 (multiplicity 4)  5 N 2.56-2.66
Sr  0.0896  0.7500  0.3171 (multiplicity 4)  4 N 2.58-2.69
Sr  0.1372  0.7500  0.6653 (multiplicity 4)  3 N 2.40-2.68
Sr  0.2263  0.2500  0.4783 (multiplicity 4)  4 N 2.46-2.73
Cr  0.1344  0.2500  0.8536 (multiplicity 4)  3 N 1.69-1.74
N  0.0067  0.7500  0.1087 (multiplicity 4)  1 Cr 1.69
N  0.0703  0.2500  0.3335 (multiplicity 4)  5 Sr 2.40-2.61
N  0.1717  0.2500  0.7093 (multiplicity 4)  1 Cr 1.72
N  0.2329  0.2500  0.9674 (multiplicity 4)  1 Cr 1.74

## Properties
ΔE_f (raw), eV/atom: -0.85
Magnetic moment, μB per formula unit: 0.00